Record 1
This record from OQMD describes an optimized crystal structure of Nb2InS4Br. The functional is PBE-GGA.

Results
The total energy comes out at -5.84 eV per atom. Its symmetry is C2/m, No. 12.

a b c (Å): 10.044 10.044 12.881
angles (deg): 120.11 120.11 20.12
Fractional positions:
Nb 0.093 0.093 0.340
Nb 0.287 0.287 0.452
Nb 0.713 0.713 0.548
Nb 0.907 0.907 0.660
In 0.337 0.337 0.052
In 0.663 0.663 0.948
S 0.120 0.120 0.543
S 0.202 0.202 0.850
S 0.317 0.317 0.672
S 0.493 0.493 0.270
S 0.507 0.507 0.730
S 0.683 0.683 0.328
S 0.798 0.798 0.150
S 0.880 0.880 0.457
Br 0.096 0.096 0.034
Br 0.904 0.904 0.966



Record 2
This record from OQMD describes an optimized crystal structure of RbPr2Cd. The functional is PBE-GGA.

Results
The total energy comes out at -2.66 eV per atom. Its symmetry is P-6m2, No. 187.

a b c (Å): 3.673 3.673 12.795
angles (deg): 90.00 90.00 120.00
Fractional positions:
Rb 0.000 0.000 0.000
Pr 0.000 0.000 0.297
Pr 0.000 0.000 0.703
Cd 0.667 0.333 0.500



Record 3
This record from OQMD describes an optimized crystal structure of Y2ErSn4Au4. The functional is PBE-GGA.

Results
The total energy comes out at -4.87 eV per atom. Its symmetry is Immm, No. 71.

a b c (Å): 8.817 8.817 8.817
angles (deg): 149.80 131.53 58.18
Fractional positions:
Y 0.129 0.129 0.000
Y 0.871 0.871 0.000
Er 0.500 0.000 0.500
Sn 0.199 0.500 0.699
Sn 0.289 0.789 0.500
Sn 0.711 0.211 0.500
Sn 0.801 0.500 0.301
Au 0.124 0.330 0.794
Au 0.465 0.670 0.794
Au 0.535 0.330 0.206
Au 0.876 0.670 0.206



| no. | mass density (Mg/m³) |
| --- | --- |
| 1 | 4.4 |
| 2 | 5.3 |
| 3 | 10.4 |